# NaVCl3 PBE optimized geometry
# Symmetry: Pnma (62)
# Magnetization, μB per formula unit: 0.6
data_NaVCl3
_chemical_formula_sum 'Na4 V4 Cl12'
_space_group_name_H-M_alt 'P 1'
_space_group_IT_number 1
_cell_length_a 8.113
_cell_length_b 3.485
_cell_length_c 14.014
_cell_angle_alpha 90.00
_cell_angle_beta 90.00
_cell_angle_gamma 90.00
loop_
_space_group_symop_operation_xyz
'x,y,z'
loop_
_atom_site_label
_atom_site_type_symbol
_atom_site_fract_x
_atom_site_fract_y
_atom_site_fract_z
Na1 Na 0.049 0.250 0.171
Na2 Na 0.451 0.750 0.671
Na3 Na 0.549 0.250 0.329
Na4 Na 0.951 0.750 0.829
V1 V 0.117 0.750 0.458
V2 V 0.383 0.250 0.958
V3 V 0.617 0.750 0.042
V4 V 0.883 0.250 0.542
Cl1 Cl 0.038 0.750 0.617
Cl2 Cl 0.179 0.750 0.008
Cl3 Cl 0.228 0.250 0.801
Cl4 Cl 0.272 0.750 0.301
Cl5 Cl 0.321 0.250 0.508
Cl6 Cl 0.462 0.250 0.117
Cl7 Cl 0.538 0.750 0.883
Cl8 Cl 0.679 0.750 0.492
Cl9 Cl 0.728 0.250 0.699
Cl10 Cl 0.772 0.750 0.199
Cl11 Cl 0.821 0.250 0.992
Cl12 Cl 0.962 0.250 0.383



# NaV3Cl PBE optimized geometry
# Symmetry: Pm-3m (221)
# Magnetization, μB per formula unit: 3.4
data_NaV3Cl
_chemical_formula_sum 'Na1 V3 Cl1'
_space_group_name_H-M_alt 'P 1'
_space_group_IT_number 1
_cell_length_a 4.395
_cell_length_b 4.395
_cell_length_c 4.395
_cell_angle_alpha 90.00
_cell_angle_beta 90.00
_cell_angle_gamma 90.00
loop_
_space_group_symop_operation_xyz
'x,y,z'
loop_
_atom_site_label
_atom_site_type_symbol
_atom_site_fract_x
_atom_site_fract_y
_atom_site_fract_z
Na1 Na 0.000 0.000 0.000
V1 V 0.000 0.500 0.500
V2 V 0.500 0.000 0.500
V3 V 0.500 0.500 0.000
Cl1 Cl 0.500 0.500 0.500



# NaVCl6 PBE optimized geometry
# Symmetry: C2/m (12)
# Magnetization, μB per formula unit: 0.0
data_NaVCl6
_chemical_formula_sum 'Na1 V1 Cl6'
_space_group_name_H-M_alt 'P 1'
_space_group_IT_number 1
_cell_length_a 6.558
_cell_length_b 6.558
_cell_length_c 6.976
_cell_angle_alpha 111.83
_cell_angle_beta 111.83
_cell_angle_gamma 67.02
loop_
_space_group_symop_operation_xyz
'x,y,z'
loop_
_atom_site_label
_atom_site_type_symbol
_atom_site_fract_x
_atom_site_fract_y
_atom_site_fract_z
Na1 Na 0.000 0.000 0.000
V1 V 0.000 0.000 0.500
Cl1 Cl 0.134 0.685 0.243
Cl2 Cl 0.193 0.193 0.456
Cl3 Cl 0.315 0.866 0.757
Cl4 Cl 0.685 0.134 0.243
Cl5 Cl 0.807 0.807 0.544
Cl6 Cl 0.866 0.315 0.757



# Na2VZnCl6 PBE optimized geometry
# Symmetry: R3 (146)
# Magnetization, μB per formula unit: 3.0
data_Na2VZnCl6
_chemical_formula_sum 'Na2 V1 Zn1 Cl6'
_space_group_name_H-M_alt 'P 1'
_space_group_IT_number 1
_cell_length_a 6.913
_cell_length_b 6.913
_cell_length_c 6.913
_cell_angle_alpha 57.89
_cell_angle_beta 57.89
_cell_angle_gamma 57.89
loop_
_space_group_symop_operation_xyz
'x,y,z'
loop_
_atom_site_label
_atom_site_type_symbol
_atom_site_fract_x
_atom_site_fract_y
_atom_site_fract_z
Na1 Na 0.000 0.000 0.000
Na2 Na 0.496 0.496 0.496
V1 V 0.705 0.705 0.705
Zn1 Zn 0.209 0.209 0.209
Cl1 Cl 0.059 0.846 0.446
Cl2 Cl 0.345 0.563 0.942
Cl3 Cl 0.446 0.059 0.846
Cl4 Cl 0.563 0.942 0.345
Cl5 Cl 0.846 0.446 0.059
Cl6 Cl 0.942 0.345 0.563



# NaWCl3 PBE optimized geometry
# Symmetry: Pm-3m (221)
# Magnetization, μB per formula unit: 3.0
data_NaWCl3
_chemical_formula_sum 'Na1 W1 Cl3'
_space_group_name_H-M_alt 'P 1'
_space_group_IT_number 1
_cell_length_a 4.987
_cell_length_b 4.987
_cell_length_c 4.987
_cell_angle_alpha 90.00
_cell_angle_beta 90.00
_cell_angle_gamma 90.00
loop_
_space_group_symop_operation_xyz
'x,y,z'
loop_
_atom_site_label
_atom_site_type_symbol
_atom_site_fract_x
_atom_site_fract_y
_atom_site_fract_z
Na1 Na 0.000 0.000 0.000
W1 W 0.500 0.500 0.500
Cl1 Cl 0.000 0.500 0.500
Cl2 Cl 0.500 0.000 0.500
Cl3 Cl 0.500 0.500 0.000



# NaWCl2 PBE optimized geometry
# Symmetry: I-42d (122)
# Magnetization, μB per formula unit: 0.0
data_NaWCl2
_chemical_formula_sum 'Na2 W2 Cl4'
_space_group_name_H-M_alt 'P 1'
_space_group_IT_number 1
_cell_length_a 7.770
_cell_length_b 7.770
_cell_length_c 7.770
_cell_angle_alpha 139.98
_cell_angle_beta 139.98
_cell_angle_gamma 57.88
loop_
_space_group_symop_operation_xyz
'x,y,z'
loop_
_atom_site_label
_atom_site_type_symbol
_atom_site_fract_x
_atom_site_fract_y
_atom_site_fract_z
Na1 Na 0.000 0.000 0.000
Na2 Na 0.750 0.250 0.500
W1 W 0.250 0.750 0.500
W2 W 0.500 0.500 0.000
Cl1 Cl 0.195 0.625 0.070
Cl2 Cl 0.375 0.445 0.570
Cl3 Cl 0.555 0.125 0.930
Cl4 Cl 0.875 0.805 0.430



# NaWCl6 PBE optimized geometry
# Symmetry: C2/c (15)
# Magnetization, μB per formula unit: 1.0
data_NaWCl6
_chemical_formula_sum 'Na2 W2 Cl12'
_space_group_name_H-M_alt 'P 1'
_space_group_IT_number 1
_cell_length_a 7.305
_cell_length_b 7.305
_cell_length_c 9.195
_cell_angle_alpha 91.26
_cell_angle_beta 91.26
_cell_angle_gamma 87.12
loop_
_space_group_symop_operation_xyz
'x,y,z'
loop_
_atom_site_label
_atom_site_type_symbol
_atom_site_fract_x
_atom_site_fract_y
_atom_site_fract_z
Na1 Na 0.057 0.943 0.750
Na2 Na 0.943 0.057 0.250
W1 W 0.000 0.500 0.500
W2 W 0.500 0.000 0.000
Cl1 Cl 0.084 0.548 0.746
Cl2 Cl 0.134 0.195 0.508
Cl3 Cl 0.195 0.134 0.008
Cl4 Cl 0.276 0.604 0.431
Cl5 Cl 0.396 0.724 0.069
Cl6 Cl 0.452 0.916 0.754
Cl7 Cl 0.548 0.084 0.246
Cl8 Cl 0.604 0.276 0.931
Cl9 Cl 0.724 0.396 0.569
Cl10 Cl 0.805 0.866 0.992
Cl11 Cl 0.866 0.805 0.492
Cl12 Cl 0.916 0.452 0.254



# NaWCl2 PBE optimized geometry
# Symmetry: R-3m (166)
# Magnetization, μB per formula unit: 0.0
data_NaWCl2
_chemical_formula_sum 'Na1 W1 Cl2'
_space_group_name_H-M_alt 'P 1'
_space_group_IT_number 1
_cell_length_a 8.734
_cell_length_b 8.734
_cell_length_c 8.734
_cell_angle_alpha 20.86
_cell_angle_beta 20.86
_cell_angle_gamma 20.86
loop_
_space_group_symop_operation_xyz
'x,y,z'
loop_
_atom_site_label
_atom_site_type_symbol
_atom_site_fract_x
_atom_site_fract_y
_atom_site_fract_z
Na1 Na 0.000 0.000 0.000
W1 W 0.500 0.500 0.500
Cl1 Cl 0.408 0.408 0.408
Cl2 Cl 0.592 0.592 0.592



# NaW2Cl PBE optimized geometry
# Symmetry: I-42d (122)
# Magnetization, μB per formula unit: 0.0
data_NaW2Cl
_chemical_formula_sum 'Na2 W4 Cl2'
_space_group_name_H-M_alt 'P 1'
_space_group_IT_number 1
_cell_length_a 14.125
_cell_length_b 14.125
_cell_length_c 14.125
_cell_angle_alpha 165.31
_cell_angle_beta 165.31
_cell_angle_gamma 20.83
loop_
_space_group_symop_operation_xyz
'x,y,z'
loop_
_atom_site_label
_atom_site_type_symbol
_atom_site_fract_x
_atom_site_fract_y
_atom_site_fract_z
Na1 Na 0.000 0.000 0.000
Na2 Na 0.750 0.250 0.500
W1 W 0.113 0.125 0.488
W2 W 0.375 0.887 0.012
W3 W 0.637 0.625 0.512
W4 W 0.875 0.363 0.988
Cl1 Cl 0.250 0.750 0.500
Cl2 Cl 0.500 0.500 0.000



# NaWCl6 PBE optimized geometry
# Symmetry: R-3 (148)
# Magnetization, μB per formula unit: 1.0
data_NaWCl6
_chemical_formula_sum 'Na1 W1 Cl6'
_space_group_name_H-M_alt 'P 1'
_space_group_IT_number 1
_cell_length_a 7.050
_cell_length_b 7.050
_cell_length_c 7.050
_cell_angle_alpha 55.43
_cell_angle_beta 55.43
_cell_angle_gamma 55.43
loop_
_space_group_symop_operation_xyz
'x,y,z'
loop_
_atom_site_label
_atom_site_type_symbol
_atom_site_fract_x
_atom_site_fract_y
_atom_site_fract_z
Na1 Na 0.000 0.000 0.000
W1 W 0.500 0.500 0.500
Cl1 Cl 0.124 0.710 0.440
Cl2 Cl 0.290 0.560 0.876
Cl3 Cl 0.440 0.124 0.710
Cl4 Cl 0.560 0.876 0.290
Cl5 Cl 0.710 0.440 0.124
Cl6 Cl 0.876 0.290 0.560



Ordered energy relative to the elements, uncorrected results: -1.25 0.82 -1.13 -1.34 -0.39 0.28 -1.07 -0.26 0.77 -1.06; unit eV/atom.